Record 1
{
  "formula": "SrSeO6",
  "functional": "PBE-GGA",
  "state": "relaxed",
  "lattice_angstrom": [[4.747, -0.033, -0.037], [-0.551, 4.715, -0.037], [-0.551, -0.615, 4.674]],
  "species": ["O", "O", "O", "O", "O", "O", "Sr", "Se"],
  "frac_coords": [[0.769, 0.769, 0.426], [0.231, 0.231, 0.574], [0.769, 0.426, 0.769], [0.231, 0.574, 0.231], [0.426, 0.769, 0.769], [0.574, 0.231, 0.231], [0.000, 0.000, 0.000], [0.500, 0.500, 0.500]]
}

Record 2
{
  "formula": "Mo3Se2",
  "functional": "PBE-GGA",
  "state": "relaxed",
  "lattice_angstrom": [[0.000, 5.557, 6.271], [2.572, 0.000, 6.271], [2.572, 5.557, 0.000]],
  "species": ["Mo", "Mo", "Mo", "Mo", "Mo", "Mo", "Se", "Se", "Se", "Se"],
  "frac_coords": [[0.976, 0.024, 0.024], [0.741, 0.971, 0.796], [0.279, 0.509, 0.758], [0.226, 0.274, 0.274], [0.492, 0.796, 0.971], [0.454, 0.758, 0.509], [0.428, 0.473, 0.236], [0.014, 0.386, 0.822], [0.864, 0.236, 0.473], [0.777, 0.822, 0.386]],
  "polymorph_energy_mev_per_atom": 74.3
}

no.,electronic total energy (eV per cell),total magnetic moment (μB per formula unit),formation energy without anion corrections (eV/atom)
1,-39.7,4.00,-0.604
2,-76.9,0.00,0.207